Entry w
The following is a PBE+U calculation of crystalline Ni2PO5 at its relaxed geometry, from Alexandria via LeMat-Bulk.

Values from the calculation:
Volume = 10.7 Å³ per atom

Cell: 7.1998 6.3370 7.5243 Å, 90.00 90.00 90.00°
With the nearest neighbours (Å) after each atom.
Positions (direct):
Ni1 0.0000 0.0000 0.0000  6 O 2.03-2.12
Ni2 0.0000 0.5000 0.0000  6 O 2.03-2.12
Ni3 0.1414 0.2500 0.2786  5 O 1.96-2.04
Ni4 0.3586 0.7500 0.7786  5 O 1.96-2.04
Ni5 0.5000 0.0000 0.5000  6 O 2.03-2.12
Ni6 0.5000 0.5000 0.5000  6 O 2.03-2.12
Ni7 0.6414 0.2500 0.2214  5 O 1.96-2.04
Ni8 0.8586 0.7500 0.7214  5 O 1.96-2.04
P1 0.1223 0.7500 0.3609  4 O 1.50-1.57
P2 0.3777 0.2500 0.8609  4 O 1.50-1.57
P3 0.6223 0.7500 0.1391  4 O 1.50-1.57
P4 0.8777 0.2500 0.6391  4 O 1.50-1.57
O1 0.0491 0.2500 0.5251  1 P 1.50
O2 0.1004 0.7500 0.8616  4 Ni 1.96-2.04
O3 0.1328 0.5565 0.2326  1 P 1.56
O4 0.1328 0.9435 0.2326  1 P 1.56
O5 0.1949 0.2500 0.9749  1 P 1.57
O6 0.3051 0.7500 0.4749  1 P 1.57
O7 0.3672 0.0565 0.7326  1 P 1.56
O8 0.3672 0.4435 0.7326  1 P 1.56
O9 0.3996 0.2500 0.3616  4 Ni 1.96-2.04
O10 0.4509 0.7500 0.0251  1 P 1.50
O11 0.5491 0.2500 0.9749  1 P 1.50
O12 0.6004 0.7500 0.6384  4 Ni 1.96-2.04
O13 0.6328 0.5565 0.2674  1 P 1.56
O14 0.6328 0.9435 0.2674  1 P 1.56
O15 0.6949 0.2500 0.5251  1 P 1.57
O16 0.8051 0.7500 0.0251  1 P 1.57
O17 0.8672 0.0565 0.7674  1 P 1.56
O18 0.8672 0.4435 0.7674  1 P 1.56
O19 0.8996 0.2500 0.1384  4 Ni 1.96-2.04
O20 0.9509 0.7500 0.4749  1 P 1.50


Entry x
The following is a PBE+U calculation of crystalline Ni2PO5 at its relaxed geometry, from Alexandria via LeMat-Bulk.

Values from the calculation:
Volume = 10.8 Å³ per atom

Cell: 7.1154 7.1154 7.1154 Å, 135.77 135.77 64.33°
With the nearest neighbours (Å) after each atom.
Positions (direct):
Ni1 0.0000 0.0000 0.0000  6 O 2.02-2.03
Ni2 0.0000 0.0000 0.5000  6 O 2.02-2.03
Ni3 0.0000 0.5000 0.0000  6 O 2.02-2.03
Ni4 0.5000 0.0000 0.5000  6 O 2.02-2.03
P1 0.3750 0.6250 0.7500  4 O 1.55
P2 0.6250 0.3750 0.2500  4 O 1.55
O1 0.1250 0.8750 0.2500  4 Ni 2.02
O2 0.2004 0.6938 0.5066  1 P 1.55
O3 0.3062 0.3127 0.5066  1 P 1.55
O4 0.3062 0.7996 0.9934  1 P 1.55
O5 0.3127 0.3062 0.0066  1 P 1.55
O6 0.6873 0.6938 0.9934  1 P 1.55
O7 0.6938 0.2004 0.0066  1 P 1.55
O8 0.6938 0.6873 0.4934  1 P 1.55
O9 0.7996 0.3062 0.4934  1 P 1.55
O10 0.8750 0.1250 0.7500  4 Ni 2.02


Most stable of them? entry x.


Entry w
The following is a PBE+U calculation of crystalline Ni3P2O8 at its relaxed geometry, from Alexandria via LeMat-Bulk.

Values from the calculation:
Volume = 9.9 Å³ per atom

Cell: 6.2453 6.2453 7.9788 Å, 90.00 90.00 123.97°
With the nearest neighbours (Å) after each atom.
Positions (direct):
Ni1 0.0000 0.0000 0.0000  6 O 2.06-2.12
Ni2 0.1142 0.3858 0.2500  6 O 2.01-2.17
Ni3 0.3858 0.1142 0.7500  6 O 2.01-2.17
Ni4 0.5000 0.5000 0.5000  6 O 2.06-2.12
Ni5 0.6142 0.8858 0.2500  6 O 2.01-2.17
Ni6 0.8858 0.6142 0.7500  6 O 2.01-2.17
P1 0.1231 0.8769 0.3839  4 O 1.55-1.61
P2 0.3769 0.6231 0.8839  4 O 1.55-1.61
P3 0.6231 0.3769 0.1161  4 O 1.55-1.61
P4 0.8769 0.1231 0.6161  4 O 1.55-1.61
O1 0.0094 0.9906 0.2575  1 P 1.61
O2 0.0989 0.3388 0.5078  1 P 1.55
O3 0.1612 0.4011 0.9922  1 P 1.55
O4 0.2407 0.7593 0.2771  1 P 1.55
O5 0.2593 0.7407 0.7771  1 P 1.55
O6 0.3388 0.0989 0.4922  1 P 1.55
O7 0.4011 0.1612 0.0078  1 P 1.55
O8 0.4906 0.5094 0.7575  1 P 1.61
O9 0.5094 0.4906 0.2425  1 P 1.61
O10 0.5989 0.8388 0.9922  1 P 1.55
O11 0.6612 0.9011 0.5078  1 P 1.55
O12 0.7407 0.2593 0.2229  1 P 1.55
O13 0.7593 0.2407 0.7229  1 P 1.55
O14 0.8388 0.5989 0.0078  1 P 1.55
O15 0.9011 0.6612 0.4922  1 P 1.55
O16 0.9906 0.0094 0.7425  1 P 1.61


Entry x
The following is a PBE+U calculation of crystalline Ni3P2O8 at its relaxed geometry, from Alexandria via LeMat-Bulk.

Values from the calculation:
Volume = 11.0 Å³ per atom

Cell: 5.8930 4.7463 10.2275 Å, 90.00 90.85 90.00°
With the nearest neighbours (Å) after each atom.
Positions (direct):
Ni1 0.0000 0.0000 0.0000  6 O 2.09-2.11
Ni2 0.0000 0.5000 0.5000  6 O 2.09-2.11
Ni3 0.2579 0.0128 0.7254  6 O 2.02-2.20
Ni4 0.2579 0.4872 0.2254  6 O 2.02-2.20
Ni5 0.7421 0.5128 0.7746  6 O 2.02-2.20
Ni6 0.7421 0.9872 0.2746  6 O 2.02-2.20
P1 0.2479 0.5773 0.9046  4 O 1.54-1.61
P2 0.2479 0.9227 0.4046  4 O 1.54-1.61
P3 0.7521 0.0773 0.5954  4 O 1.54-1.61
P4 0.7521 0.4227 0.0954  4 O 1.54-1.61
O1 0.0339 0.7353 0.8381  1 P 1.61
O2 0.0339 0.7647 0.3381  1 P 1.61
O3 0.2311 0.2456 0.3976  1 P 1.54
O4 0.2311 0.2544 0.8976  1 P 1.54
O5 0.2429 0.6909 0.0470  1 P 1.55
O6 0.2429 0.8091 0.5470  1 P 1.55
O7 0.4474 0.6984 0.8260  1 P 1.55
O8 0.4474 0.8016 0.3260  1 P 1.55
O9 0.5526 0.1984 0.6740  1 P 1.55
O10 0.5526 0.3016 0.1740  1 P 1.55
O11 0.7571 0.1909 0.4530  1 P 1.55
O12 0.7571 0.3091 0.9530  1 P 1.55
O13 0.7689 0.7456 0.1024  1 P 1.54
O14 0.7689 0.7544 0.6024  1 P 1.54
O15 0.9661 0.2353 0.6619  1 P 1.61
O16 0.9661 0.2647 0.1619  1 P 1.61


Most stable of them? entry x.


Entry w
The following is a PBE+U calculation of crystalline Ni5P4O16 at its relaxed geometry, from Alexandria via LeMat-Bulk.

Values from the calculation:
Volume = 12.0 Å³ per atom

Cell: 5.0623 7.9153 8.2546 Å, 112.26 90.12 100.94°
With the nearest neighbours (Å) after each atom.
Positions (direct):
Ni1 0.0000 0.0000 0.0000  6 O 2.00-2.20
Ni2 0.1049 0.2355 0.7650  6 O 2.02-2.13
Ni3 0.3459 0.5939 0.3203  5 O 1.93-2.03
Ni4 0.6541 0.4061 0.6797  5 O 1.93-2.03
Ni5 0.8951 0.7645 0.2350  6 O 2.02-2.13
P1 0.1502 0.2128 0.4265  4 O 1.50-1.59
P2 0.3806 0.7013 0.9747  4 O 1.52-1.56
P3 0.6194 0.2987 0.0253  4 O 1.52-1.56
P4 0.8498 0.7872 0.5735  4 O 1.50-1.59
O1 0.0735 0.0307 0.2617  1 P 1.54
O2 0.0839 0.7538 0.4475  1 P 1.57
O3 0.2264 0.6735 0.1298  1 P 1.56
O4 0.2494 0.8231 0.9084  1 P 1.52
O5 0.2570 0.3760 0.3774  1 P 1.50
O6 0.3135 0.2156 0.9655  1 P 1.56
O7 0.3547 0.1847 0.5553  1 P 1.59
O8 0.3546 0.5034 0.8261  1 P 1.56
O9 0.6454 0.4966 0.1739  1 P 1.56
O10 0.6453 0.8153 0.4447  1 P 1.59
O11 0.6865 0.7844 0.0345  1 P 1.56
O12 0.7430 0.6240 0.6226  1 P 1.50
O13 0.7506 0.1769 0.0916  1 P 1.52
O14 0.7736 0.3265 0.8702  1 P 1.56
O15 0.9161 0.2462 0.5525  1 P 1.57
O16 0.9265 0.9693 0.7383  1 P 1.54


Entry x
The following is a PBE+U calculation of crystalline Ni5P4O16 at its relaxed geometry, from Alexandria via LeMat-Bulk.

Values from the calculation:
Volume = 13.3 Å³ per atom

Cell: 5.5392 8.0938 8.8081 Å, 65.42 73.05 70.62°
With the nearest neighbours (Å) after each atom.
Positions (direct):
Ni1 0.0000 0.0000 0.0000  4 O 1.96-1.97
Ni2 0.0095 0.6990 0.8568  6 O 2.06-2.22
Ni3 0.1447 0.6915 0.4849  4 O 1.89-2.04
Ni4 0.8553 0.3085 0.5151  4 O 1.89-2.04
Ni5 0.9905 0.3010 0.1432  6 O 2.06-2.22
P1 0.0476 0.3843 0.8081  4 O 1.52-1.57
P2 0.4088 0.0182 0.3944  3 O 1.51-1.62
P3 0.5912 0.9818 0.6056  3 O 1.51-1.62
P4 0.9524 0.6157 0.1919  4 O 1.52-1.57
O1 0.0651 0.6437 0.3151  1 P 1.52
O2 0.1402 0.1559 0.3858  1 P 1.54
O3 0.1460 0.9299 0.7967  1 O 1.48
O4 0.1662 0.5196 0.0729  1 P 1.57
O5 0.1873 0.1937 0.9317  1 P 1.57
O6 0.2329 0.5217 0.7104  1 P 1.57
O7 0.4232 0.8242 0.4059  1 P 1.51
O8 0.4324 0.8594 0.7792  1 O 1.48, 1 P 1.62
O9 0.5676 0.1406 0.2208  1 O 1.48, 1 P 1.62
O10 0.5768 0.1758 0.5941  1 P 1.51
O11 0.7671 0.4783 0.2896  1 P 1.57
O12 0.8127 0.8063 0.0683  1 P 1.57
O13 0.8338 0.4804 0.9271  1 P 1.57
O14 0.8540 0.0701 0.2033  1 O 1.48
O15 0.8598 0.8441 0.6142  1 P 1.54
O16 0.9349 0.3563 0.6849  1 P 1.52


Most stable of them? entry w.


Entry w
The following is a PBE+U calculation of crystalline NiP2PtO at its relaxed geometry, from Alexandria via LeMat-Bulk.

Values from the calculation:
Volume = 13.9 Å³ per atom

Cell: 4.5296 4.5296 3.3915 Å, 90.00 90.00 90.00°
With the nearest neighbours (Å) after each atom.
Positions (direct):
Ni1 0.0000 0.0000 0.0000  2 O 1.70
P1 0.0000 0.5000 0.0000  2 Ni 2.26
P2 0.5000 0.0000 0.0000  2 Ni 2.26
Pt1 0.5000 0.5000 0.5000  8 P 2.83
O1 0.0000 0.0000 0.5000  2 Ni 1.70


Entry x
The following is a PBE+U calculation of crystalline NiP2PtO at its relaxed geometry, from Alexandria via LeMat-Bulk.

Values from the calculation:
Volume = 17.2 Å³ per atom

Cell: 4.8155 4.8155 3.6990 Å, 90.00 90.00 90.00°
With the nearest neighbours (Å) after each atom.
Positions (direct):
Ni1 0.0000 0.0000 0.0000  8 P 3.04
P1 0.0000 0.5000 0.5000  2 Pt 2.41
P2 0.5000 0.0000 0.5000  2 Pt 2.41
Pt1 0.5000 0.5000 0.5000  2 O 1.85
O1 0.5000 0.5000 0.0000  2 Pt 1.85


Most stable of them? entry w.


Entry w
The following is a PBE+U calculation of crystalline RbNiP2O at its relaxed geometry, from Alexandria via LeMat-Bulk.

Values from the calculation:
Volume = 24.9 Å³ per atom

Cell: 5.3857 5.3857 4.2884 Å, 90.00 90.00 90.00°
With the nearest neighbours (Å) after each atom.
Positions (direct):
Rb1 0.0000 0.0000 0.0000  2 O 2.14
Ni1 0.5000 0.5000 0.5000  8 P 3.44, 4 O 3.81
P1 0.0000 0.5000 0.0000  2 Rb 2.69
P2 0.5000 0.0000 0.0000  2 Rb 2.69
O1 0.0000 0.0000 0.5000  2 Rb 2.14


Entry x
The following is a PBE+U calculation of crystalline RbNiP2O at its relaxed geometry, from Alexandria via LeMat-Bulk.

Values from the calculation:
Volume = 21.6 Å³ per atom

Cell: 4.1703 4.1703 6.2134 Å, 90.00 90.00 90.00°
With the nearest neighbours (Å) after each atom.
Positions (direct):
Rb1 0.0000 0.0000 0.0000  4 O 2.95
Ni1 0.5000 0.5000 0.5000  4 P 2.09
P1 0.0000 0.5000 0.5000  2 Ni 2.09
P2 0.5000 0.0000 0.5000  2 Ni 2.09
O1 0.5000 0.5000 0.0000  4 Rb 2.95, 2 Ni 3.11


Most stable of them? entry x.


Entry w
The following is a PBE+U calculation of crystalline ReNiP2O at its relaxed geometry, from Alexandria via LeMat-Bulk.

Values from the calculation:
Volume = 13.4 Å³ per atom

Cell: 4.4862 4.4862 3.3415 Å, 90.00 90.00 90.00°
With the nearest neighbours (Å) after each atom.
Positions (direct):
Re1 0.0000 0.0000 0.0000  8 P 2.80
Ni1 0.5000 0.5000 0.5000  2 O 1.67
P1 0.0000 0.5000 0.5000  2 Ni 2.24
P2 0.5000 0.0000 0.5000  2 Ni 2.24
O1 0.5000 0.5000 0.0000  2 Ni 1.67


Entry x
The following is a PBE+U calculation of crystalline ReNiP2O at its relaxed geometry, from Alexandria via LeMat-Bulk.

Values from the calculation:
Volume = 16.7 Å³ per atom

Cell: 4.7474 4.7474 3.7031 Å, 90.00 90.00 90.00°
With the nearest neighbours (Å) after each atom.
Positions (direct):
Re1 0.0000 0.0000 0.0000  2 O 1.85
Ni1 0.5000 0.5000 0.5000  8 P 3.01, 4 O 3.36
P1 0.0000 0.5000 0.0000  2 Re 2.37
P2 0.5000 0.0000 0.0000  2 Re 2.37
O1 0.0000 0.0000 0.5000  2 Re 1.85


Most stable of them? entry x.


Entry w
The following is a PBE+U calculation of crystalline NiP2RhO at its relaxed geometry, from Alexandria via LeMat-Bulk.

Values from the calculation:
Volume = 16.7 Å³ per atom

Cell: 4.7736 4.7736 3.6548 Å, 90.00 90.00 90.00°
With the nearest neighbours (Å) after each atom.
Positions (direct):
Ni1 0.0000 0.0000 0.0000  8 P 3.01
P1 0.0000 0.5000 0.5000  2 Rh 2.39
P2 0.5000 0.0000 0.5000  2 Rh 2.39
Rh1 0.5000 0.5000 0.5000  2 O 1.83
O1 0.5000 0.5000 0.0000  2 Rh 1.83


Entry x
The following is a PBE+U calculation of crystalline NiP2RhO at its relaxed geometry, from Alexandria via LeMat-Bulk.

Values from the calculation:
Volume = 13.6 Å³ per atom

Cell: 4.4721 4.4721 3.3935 Å, 90.00 90.00 90.00°
With the nearest neighbours (Å) after each atom.
Positions (direct):
Ni1 0.0000 0.0000 0.0000  2 O 1.70
P1 0.0000 0.5000 0.0000  2 Ni 2.24
P2 0.5000 0.0000 0.0000  2 Ni 2.24
Rh1 0.5000 0.5000 0.5000  8 P 2.81
O1 0.0000 0.0000 0.5000  2 Ni 1.70


Most stable of them? entry x.


Entry w
The following is a PBE+U calculation of crystalline ScNiP2O at its relaxed geometry, from Alexandria via LeMat-Bulk.

Values from the calculation:
Volume = 14.9 Å³ per atom

Cell: 4.5720 4.5720 3.5543 Å, 90.00 90.00 90.00°
With the nearest neighbours (Å) after each atom.
Positions (direct):
Sc1 0.0000 0.0000 0.0000  8 P 2.90, 4 O 3.23
Ni1 0.5000 0.5000 0.5000  2 O 1.78
P1 0.0000 0.5000 0.5000  2 Ni 2.29
P2 0.5000 0.0000 0.5000  2 Ni 2.29
O1 0.5000 0.5000 0.0000  2 Ni 1.78


Entry x
The following is a PBE+U calculation of crystalline ScNiP2O at its relaxed geometry, from Alexandria via LeMat-Bulk.

Values from the calculation:
Volume = 19.5 Å³ per atom

Cell: 5.0633 5.0633 3.8004 Å, 90.00 90.00 90.00°
With the nearest neighbours (Å) after each atom.
Positions (direct):
Sc1 0.0000 0.0000 0.0000  2 O 1.90
Ni1 0.5000 0.5000 0.5000  8 P 3.17
P1 0.0000 0.5000 0.0000  2 Sc 2.53
P2 0.5000 0.0000 0.0000  2 Sc 2.53
O1 0.0000 0.0000 0.5000  2 Sc 1.90


Most stable of them? entry w.


Entry w
The following is a PBE+U calculation of crystalline NiP2SeO at its relaxed geometry, from Alexandria via LeMat-Bulk.

Values from the calculation:
Volume = 14.8 Å³ per atom

Cell: 4.5841 4.5841 3.5115 Å, 90.00 90.00 90.00°
With the nearest neighbours (Å) after each atom.
Positions (direct):
Ni1 0.0000 0.0000 0.0000  2 O 1.76
P1 0.0000 0.5000 0.0000  2 Ni 2.29
P2 0.5000 0.0000 0.0000  2 Ni 2.29
Se1 0.5000 0.5000 0.5000  8 P 2.89
O1 0.0000 0.0000 0.5000  2 Ni 1.76


Entry x
The following is a PBE+U calculation of crystalline NiP2SeO at its relaxed geometry, from Alexandria via LeMat-Bulk.

Values from the calculation:
Volume = 17.3 Å³ per atom

Cell: 4.8940 4.8940 3.6192 Å, 90.00 90.00 90.00°
With the nearest neighbours (Å) after each atom.
Positions (direct):
Ni1 0.0000 0.0000 0.0000  8 P 3.04
P1 0.0000 0.5000 0.5000  2 Se 2.45
P2 0.5000 0.0000 0.5000  2 Se 2.45
Se1 0.5000 0.5000 0.5000  2 O 1.81
O1 0.5000 0.5000 0.0000  2 Se 1.81


Most stable of them? entry w.


Entry w
The following is a PBE+U calculation of crystalline SiNiPO2 at its relaxed geometry, from Alexandria via LeMat-Bulk.

Values from the calculation:
Volume = 13.0 Å³ per atom

Cell: 3.3160 3.3160 5.9144 Å, 90.00 90.00 90.00°
With the nearest neighbours (Å) after each atom.
Positions (direct):
Si1 0.0000 0.0000 0.0000  4 O 1.66
Ni1 0.5000 0.5000 0.5000  4 P 2.34
P1 0.0000 0.0000 0.5000  4 Ni 2.34
O1 0.0000 0.5000 0.0000  2 Si 1.66
O2 0.5000 0.0000 0.0000  2 Si 1.66


Entry x
The following is a PBE+U calculation of crystalline SiNiPO2 at its relaxed geometry, from Alexandria via LeMat-Bulk.

Values from the calculation:
Volume = 12.2 Å³ per atom

Cell: 3.6298 3.6298 4.6457 Å, 90.00 90.00 90.00°
With the nearest neighbours (Å) after each atom.
Positions (direct):
Si1 0.0000 0.0000 0.0000  4 P 2.57
Ni1 0.5000 0.5000 0.5000  4 O 1.81
P1 0.5000 0.5000 0.0000  2 Ni 2.32, 4 Si 2.57
O1 0.0000 0.5000 0.5000  2 Ni 1.81
O2 0.5000 0.0000 0.5000  2 Ni 1.81


Most stable of them? entry w.


Entry w
The following is a PBE+U calculation of crystalline NiSnPO2 at its relaxed geometry, from Alexandria via LeMat-Bulk.

Values from the calculation:
Volume = 13.4 Å³ per atom

Cell: 3.8148 3.8148 4.5986 Å, 90.00 90.00 90.00°
With the nearest neighbours (Å) after each atom.
Positions (direct):
Ni1 0.0000 0.0000 0.0000  4 O 1.91
Sn1 0.5000 0.5000 0.5000  4 P 2.70, 8 O 2.99
P1 0.0000 0.0000 0.5000  2 Ni 2.30
O1 0.0000 0.5000 0.0000  2 Ni 1.91
O2 0.5000 0.0000 0.0000  2 Ni 1.91


Entry x
The following is a PBE+U calculation of crystalline NiSnPO2 at its relaxed geometry, from Alexandria via LeMat-Bulk.

Values from the calculation:
Volume = 17.0 Å³ per atom

Cell: 3.9075 3.9075 5.5564 Å, 90.00 90.00 90.00°
With the nearest neighbours (Å) after each atom.
Positions (direct):
Ni1 0.0000 0.0000 0.0000  4 P 2.76
Sn1 0.5000 0.5000 0.5000  4 O 1.95
P1 0.5000 0.5000 0.0000  4 Ni 2.76, 2 Sn 2.78
O1 0.0000 0.5000 0.5000  2 Sn 1.95
O2 0.5000 0.0000 0.5000  2 Sn 1.95


Most stable of them? entry w.